No. 1
DFT (PBE) results for a relaxed structure of Na2LaHoO4.

Cell lengths 4.6754, 4.6754, 10.5817 Å; angles 90.00, 90.00, 90.00 degrees
Closest atoms and distances in Å follow each position.
Element x y z (fractional)
Na 0.0000 0.0000 0.0000  4 O 2.35
Na 0.0000 0.5000 0.2500  4 O 2.37
Na 0.5000 0.0000 0.7500  4 O 2.37
Na 0.5000 0.5000 0.5000  4 O 2.35
La 0.0000 0.5000 0.7500  6 O 2.37-2.46
La 0.5000 0.0000 0.2500  6 O 2.37-2.46
Ho 0.0000 0.0000 0.5000  6 O 2.25-2.35
Ho 0.5000 0.5000 0.0000  6 O 2.25-2.35
O 0.0000 0.0000 0.2875  1 Ho 2.25, 2 La 2.37, 2 Na 2.37
O 0.0000 0.0000 0.7125  1 Ho 2.25, 2 La 2.37, 2 Na 2.37
O 0.0000 0.5000 0.5175  2 Ho 2.35, 2 Na 2.35, 1 La 2.46
O 0.0000 0.5000 0.9825  2 Na 2.35, 2 Ho 2.35, 1 La 2.46
O 0.5000 0.0000 0.0175  2 Na 2.35, 2 Ho 2.35, 1 La 2.46
O 0.5000 0.0000 0.4825  2 Na 2.35, 2 Ho 2.35, 1 La 2.46
O 0.5000 0.5000 0.2125  1 Ho 2.25, 2 La 2.37, 2 Na 2.37
O 0.5000 0.5000 0.7875  1 Ho 2.25, 2 La 2.37, 2 Na 2.37

=====

No. 2
DFT (PBE) results for a relaxed structure of LaHoNb.

Cell lengths 7.1858, 7.1858, 7.1858 Å; angles 90.00, 90.00, 90.00 degrees
Closest atoms and distances in Å follow each position.
Element x y z (fractional)
La 0.0000 0.0000 0.0000  4 Nb 3.11
La 0.0000 0.5000 0.5000  4 Nb 3.11
La 0.5000 0.0000 0.5000  4 Nb 3.11
La 0.5000 0.5000 0.0000  4 Nb 3.11
Ho 0.0000 0.0000 0.5000  4 Nb 3.11
Ho 0.0000 0.5000 0.0000  4 Nb 3.11
Ho 0.5000 0.0000 0.0000  4 Nb 3.11
Ho 0.5000 0.5000 0.5000  4 Nb 3.11
Nb 0.2500 0.2500 0.7500  4 La 3.11, 4 Ho 3.11
Nb 0.2500 0.7500 0.2500  4 La 3.11, 4 Ho 3.11
Nb 0.7500 0.2500 0.2500  4 La 3.11, 4 Ho 3.11
Nb 0.7500 0.7500 0.7500  4 La 3.11, 4 Ho 3.11

The calculation puts the formation energy at 760 meV/atom. Its offset from the most stable computed form is 0.000 eV per formula unit.

=====

No. 3
DFT (PBE) results for a relaxed structure of La3NdHo2Te2Pd.

Cell lengths 4.1273, 8.6587, 8.6587 Å; angles 120.56, 90.00, 90.00 degrees
Closest atoms and distances in Å follow each position.
Element x y z (fractional)
La 0.0000 0.0000 0.0000  4 Te 3.36, 1 Pd 3.38, 2 Nd 3.62, 4 Ho 3.70
La 0.0000 0.1821 0.5891  4 Te 3.31-3.33, 1 Pd 3.60, 4 Ho 3.69
La 0.0000 0.5891 0.1821  4 Te 3.31-3.33, 1 Pd 3.60, 4 Ho 3.69
Nd 0.5000 0.3463 0.3463  2 Pd 3.04, 2 Te 3.37
Ho 0.5000 0.5904 0.8297  2 Pd 2.88
Ho 0.5000 0.8297 0.5904  2 Pd 2.88
Te 0.5000 0.2564 0.9188  6 La 3.31-3.36, 2 Ho 3.33-3.35, 1 Nd 3.37
Te 0.5000 0.9188 0.2564  6 La 3.31-3.36, 2 Ho 3.33-3.35, 1 Nd 3.37
Pd 0.0000 0.6067 0.6067  4 Ho 2.88, 2 Nd 3.04

=====

No. 4
DFT (PBE) results for a relaxed structure of La2HoNi9.

Cell lengths 8.7735, 8.7735, 8.7735 Å; angles 32.93, 32.93, 32.93 degrees
Closest atoms and distances in Å follow each position.
Element x y z (fractional)
La 0.1382 0.1382 0.1382  12 Ni 2.89-3.22, 3 La 3.20
La 0.8618 0.8618 0.8618  12 Ni 2.89-3.22, 3 La 3.20
Ho 0.0000 0.0000 0.0000  18 Ni 2.87-3.17
Ni 0.0804 0.5787 0.5787  7 Ni 2.43-2.60
Ni 0.3326 0.3326 0.3326  6 Ni 2.43-2.45
Ni 0.4213 0.4213 0.9196  7 Ni 2.43-2.60
Ni 0.4213 0.9196 0.4213  7 Ni 2.43-2.60
Ni 0.5000 0.5000 0.5000  6 Ni 2.60
Ni 0.5787 0.0804 0.5787  7 Ni 2.43-2.60
Ni 0.5787 0.5787 0.0804  7 Ni 2.43-2.60
Ni 0.6674 0.6674 0.6674  6 Ni 2.43-2.45
Ni 0.9196 0.4213 0.4213  7 Ni 2.43-2.60

The calculation puts the formation energy at -355 meV/atom.

=====

No. 5
DFT (PBE) results for a relaxed structure of LaHoSi4Ni2.

Cell lengths 4.0414, 4.1062, 16.4647 Å; angles 90.00, 90.00, 90.00 degrees
Closest atoms and distances in Å follow each position.
Element x y z (fractional)
La 0.0000 0.0000 0.0000  10 Si 3.09-3.19, 4 Ni 3.14
La 0.0000 0.5000 0.5000  10 Si 3.09-3.19, 4 Ni 3.14
Ho 0.5000 0.0000 0.7872  10 Si 3.06-3.15, 4 Ni 3.11
Ho 0.5000 0.5000 0.2872  10 Si 3.06-3.15, 4 Ni 3.11
Si 0.0000 0.0000 0.3520  1 Ni 2.24, 2 Si 2.41
Si 0.0000 0.0000 0.6473  4 Ni 2.34
Si 0.0000 0.5000 0.1473  4 Ni 2.34
Si 0.0000 0.5000 0.8520  1 Ni 2.24, 2 Si 2.41
Si 0.5000 0.0000 0.1468  4 Ni 2.32-2.36
Si 0.5000 0.0000 0.4323  1 Ni 2.37, 2 Si 2.41
Si 0.5000 0.5000 0.6468  4 Ni 2.32-2.36
Si 0.5000 0.5000 0.9323  1 Ni 2.37, 2 Si 2.41
Ni 0.0000 0.0000 0.2158  5 Si 2.24-2.34
Ni 0.0000 0.5000 0.7158  5 Si 2.24-2.34
Ni 0.5000 0.0000 0.5759  5 Si 2.34-2.37
Ni 0.5000 0.5000 0.0759  5 Si 2.34-2.37

=====

No. 6
DFT (PBE) results for a relaxed structure of LaHoNi2Sn4.

Cell lengths 4.5296, 4.4228, 18.3127 Å; angles 90.00, 90.00, 90.00 degrees
Closest atoms and distances in Å follow each position.
Element x y z (fractional)
La 0.0000 0.0000 0.0000  10 Sn 3.37-3.61, 4 Ni 3.43
La 0.0000 0.5000 0.5000  10 Sn 3.37-3.61, 4 Ni 3.43
Ho 0.5000 0.0000 0.2176  10 Sn 3.36-3.58, 4 Ni 3.42
Ho 0.5000 0.5000 0.7176  10 Sn 3.36-3.58, 4 Ni 3.42
Ni 0.0000 0.0000 0.7883  5 Sn 2.43-2.58
Ni 0.0000 0.5000 0.2883  5 Sn 2.43-2.58
Ni 0.5000 0.0000 0.4280  5 Sn 2.49-2.60
Ni 0.5000 0.5000 0.9280  5 Sn 2.49-2.60
Sn 0.0000 0.0000 0.3580  4 Ni 2.55-2.60
Sn 0.0000 0.0000 0.6557  1 Ni 2.43
Sn 0.0000 0.5000 0.1557  1 Ni 2.43
Sn 0.0000 0.5000 0.8580  4 Ni 2.55-2.60
Sn 0.5000 0.0000 0.5639  1 Ni 2.49
Sn 0.5000 0.0000 0.8554  4 Ni 2.58
Sn 0.5000 0.5000 0.0639  1 Ni 2.49
Sn 0.5000 0.5000 0.3554  4 Ni 2.58

=====

Here are the calculated VASP energy numbers, same order: -6.73, -5.77, -5.34, -5.73, -6.11, -5.15 (eV per atom).
Here are the calculated size of the total moment numbers, same order: 0.00, 5.95, 0.01, 0.33, 0.00, 0.00 (Bohr magnetons per cell).